# Ag3Rh2 GGA-PBE relaxed
# Spin magnetization in μB per cell: 1.3
# Electronic total energy in eV per atom: -4.436
# Symmetry: No. 166
# Energy relative to the lowest polymorph listed for this composition in eV/atom: 0.095
data_Ag3Rh2
_chemical_formula_sum 'Ag3 Rh2'
_cell_length_a 11.991
_cell_length_b 11.991
_cell_length_c 11.991
_cell_angle_alpha 13.46
_cell_angle_beta 13.46
_cell_angle_gamma 13.46
_symmetry_space_group_name_H-M 'P 1'
_symmetry_Int_Tables_number 1
_symmetry_space_group_name_Hall 'P 1'
loop_
_atom_site_label
_atom_site_type_symbol
_atom_site_fract_x
_atom_site_fract_y
_atom_site_fract_z
Ag1 Ag 0.000 0.000 0.000
Ag2 Ag 0.201 0.201 0.201
Ag3 Ag 0.799 0.799 0.799
Rh1 Rh 0.400 0.400 0.400
Rh2 Rh 0.600 0.600 0.600


# HoEr3C GGA-PBE relaxed
# Spin magnetization in μB per cell: 0.0
# Electronic total energy in eV per atom: -5.531
# Symmetry: No. 221
data_HoEr3C
_chemical_formula_sum 'Ho1 Er3 C1'
_cell_length_a 4.996
_cell_length_b 4.996
_cell_length_c 4.996
_cell_angle_alpha 90.00
_cell_angle_beta 90.00
_cell_angle_gamma 90.00
_symmetry_space_group_name_H-M 'P 1'
_symmetry_Int_Tables_number 1
_symmetry_space_group_name_Hall 'P 1'
loop_
_atom_site_label
_atom_site_type_symbol
_atom_site_fract_x
_atom_site_fract_y
_atom_site_fract_z
Ho1 Ho 0.000 0.000 0.000
Er1 Er 0.000 0.500 0.500
Er2 Er 0.500 0.000 0.500
Er3 Er 0.500 0.500 0.000
C1 C 0.500 0.500 0.500


# CaTcRu2 GGA-PBE relaxed
# Spin magnetization in μB per cell: 1.4
# Electronic total energy in eV per atom: -7.130
# Symmetry: No. 216
# Energy relative to the lowest polymorph listed for this composition in eV/atom: 0.313
data_CaTcRu2
_chemical_formula_sum 'Ca1 Tc1 Ru2'
_cell_length_a 4.505
_cell_length_b 4.505
_cell_length_c 4.505
_cell_angle_alpha 60.00
_cell_angle_beta 60.00
_cell_angle_gamma 60.00
_symmetry_space_group_name_H-M 'P 1'
_symmetry_Int_Tables_number 1
_symmetry_space_group_name_Hall 'P 1'
loop_
_atom_site_label
_atom_site_type_symbol
_atom_site_fract_x
_atom_site_fract_y
_atom_site_fract_z
Ca1 Ca 0.000 0.000 0.000
Tc1 Tc 0.250 0.250 0.250
Ru1 Ru 0.500 0.500 0.500
Ru2 Ru 0.750 0.750 0.750